Li3HO2: relaxed, PBE.

Values from the calculation:
Total energy ... -4.701 eV/atom
Total magnetization ... 0.00 μB per cell

Cell: 4.355 8.283 5.074 Å, 90.00 90.00 90.00°
Space group Ibam (No. 72)
Asymmetric unit:
Li 0.000 0.000 0.250 (multiplicity 4)
Li 0.000 0.276 0.250 (multiplicity 8)
H 0.000 0.500 0.000 (multiplicity 4)
O 0.221 0.391 0.000 (multiplicity 8)

Li10HO4: relaxed, PBE.

Values from the calculation:
Total energy ... -4.244 eV/atom
Total magnetization ... 2.32 μB per cell

Cell: 3.2524 3.2524 45.8273 Å, 90.00 90.00 120.00°
Space group R-3m (No. 166, hexagonal axes)
Asymmetric unit:
Li 0.0000 0.0000 0.0443 (multiplicity 6)
Li 0.0000 0.0000 0.1444 (multiplicity 6)
Li 0.0000 0.0000 0.2593 (multiplicity 6)
Li 0.0000 0.0000 0.3481 (multiplicity 6)
Li 0.0000 0.0000 0.4357 (multiplicity 6)
H 0.0000 0.0000 0.5000 (multiplicity 3)
O 0.0000 0.0000 0.0886 (multiplicity 6)
O 0.0000 0.0000 0.3038 (multiplicity 6)

Copy entry 2 word for word.
Li10HO4: relaxed, PBE.

Values from the calculation:
Total energy ... -4.244 eV/atom
Total magnetization ... 2.32 μB per cell

Cell: 3.2524 3.2524 45.8273 Å, 90.00 90.00 120.00°
Space group R-3m (No. 166, hexagonal axes)
Asymmetric unit:
Li 0.0000 0.0000 0.0443 (multiplicity 6)
Li 0.0000 0.0000 0.1444 (multiplicity 6)
Li 0.0000 0.0000 0.2593 (multiplicity 6)
Li 0.0000 0.0000 0.3481 (multiplicity 6)
Li 0.0000 0.0000 0.4357 (multiplicity 6)
H 0.0000 0.0000 0.5000 (multiplicity 3)
O 0.0000 0.0000 0.0886 (multiplicity 6)
O 0.0000 0.0000 0.3038 (multiplicity 6)